This record from the Alexandria database describes a relaxed SiSbTe2Au crystal. The functional is PBE.

Unit cell a=5.481 b=5.481 c=5.252 alpha=90.00 beta=90.00 gamma=90.00
Space group P4/mmm (No. 123)
Unique sites:
Si1 0.000 0.000 0.000 x1
Sb1 0.500 0.500 0.000 x1
Te1 0.000 0.500 0.500 x2
Au1 0.500 0.500 0.500 x1

Output
D(E_F) = 1.01 states/eV per atom
Energy = -2.9791 eV per atom

This record from the Alexandria database describes a relaxed Si3Cl5 crystal. The functional is PBE.

Unit cell a=8.7893 b=8.7893 c=6.0833 alpha=90.00 beta=90.00 gamma=120.00
Space group P6_3/mcm (No. 193)
Unique sites:
Si1 0.0000 0.4800 0.2500 x6
Cl1 0.0000 0.2435 0.2500 x6
Cl2 0.3333 0.6667 0.0000 x4

Output
D(E_F) = 0.18 states/eV per atom
Energy = -3.5082 eV per atom

This record from the Alexandria database describes a relaxed SmGdIr crystal. The functional is PBE.

Unit cell a=6.891 b=6.891 c=6.891 alpha=90.00 beta=90.00 gamma=90.00
Space group F-43m (No. 216)
Unique sites:
Sm1 0.000 0.000 0.000 x4
Gd1 0.000 0.000 0.500 x4
Ir1 0.250 0.250 0.750 x4

Output
ΔE_f = -0.614 eV per atom
D(E_F) = 1.01 states/eV per atom

This record from the Alexandria database describes a relaxed TlIn4Bi4 crystal. The functional is PBE.

Unit cell a=10.057 b=10.057 c=5.392 alpha=90.00 beta=90.00 gamma=90.00
Space group I4/m (No. 87)
Unique sites:
Tl1 0.000 0.000 0.000 x2
In1 0.165 0.169 0.500 x8
Bi1 0.004 0.336 0.000 x8

Output
ΔE_f = 0.053 eV per atom
D(E_F) = 0.44 states/eV per atom

This record from the Alexandria database describes a relaxed ZrWCl2 crystal. The functional is PBE.

Unit cell a=2.968 b=2.968 c=10.371 alpha=90.00 beta=90.00 gamma=90.00
Space group P4/mmm (No. 123)
Unique sites:
Zr1 0.000 0.000 0.000 x1
W1 0.000 0.000 0.500 x1
Cl1 0.500 0.500 0.159 x2

Output
D(E_F) = 0.62 states/eV per atom
Energy = -6.0287 eV per atom

This record from the Alexandria database describes a relaxed TaTl2Fe crystal. The functional is PBE.

Unit cell a=6.841 b=6.841 c=6.841 alpha=90.00 beta=90.00 gamma=90.00
Space group F-43m (No. 216)
Unique sites:
Ta1 0.000 0.000 0.000 x4
Tl1 0.000 0.000 0.500 x4
Tl2 0.250 0.250 0.750 x4
Fe1 0.250 0.250 0.250 x4

Output
ΔE_f = 0.928 eV per atom
D(E_F) = 0.76 states/eV per atom

This record from the Alexandria database describes a relaxed OsBr2N crystal. The functional is PBE.

Unit cell a=9.603 b=9.603 c=3.727 alpha=90.00 beta=90.00 gamma=90.00
Space group I-42d (No. 122)
Unique sites:
Os1 0.000 0.000 0.000 x4
Br1 0.095 0.750 0.125 x8
N1 0.000 0.000 0.500 x4

Output
D(E_F) = 0.55 states/eV per atom
Energy = -5.3910 eV per atom

This record from the Alexandria database describes a relaxed Be2TcW crystal. The functional is PBE.

Unit cell a=3.183 b=3.788 c=4.091 alpha=90.00 beta=90.00 gamma=90.00
Space group Pmmm (No. 47)
Unique sites:
Be1 0.000 0.000 0.000 x1
Be2 0.500 0.000 0.500 x1
Tc1 0.000 0.500 0.500 x1
W1 0.500 0.500 0.000 x1

Output
ΔE_f = 0.101 eV per atom
D(E_F) = 0.43 states/eV per atom

This record from the Alexandria database describes a relaxed InBOs2N crystal. The functional is PBE.

Unit cell a=3.990 b=3.990 c=4.344 alpha=90.00 beta=90.00 gamma=90.00
Space group P4/mmm (No. 123)
Unique sites:
In1 0.000 0.000 0.000 x1
B1 0.500 0.500 0.000 x1
Os1 0.000 0.500 0.500 x2
N1 0.500 0.500 0.500 x1

Output
D(E_F) = 0.78 states/eV per atom
Energy = -6.8037 eV per atom

This record from the Alexandria database describes a relaxed Pm4InHg2Au crystal. The functional is PBE.

Unit cell a=5.3671 b=5.3671 c=26.2199 alpha=90.00 beta=90.00 gamma=120.00
Space group R-3m (No. 166, hexagonal axes)
Unique sites:
Pm1 0.0000 0.0000 0.1191 x6
Pm2 0.0000 0.0000 0.3702 x6
In1 0.0000 0.0000 0.5000 x3
Hg1 0.0000 0.0000 0.2435 x6
Au1 0.0000 0.0000 0.0000 x3

Output
ΔE_f = -0.546 eV per atom
D(E_F) = 1.15 states/eV per atom

This record from the Alexandria database describes a relaxed NbCoIrSe2 crystal. The functional is PBE.

Unit cell a=4.820 b=4.820 c=4.382 alpha=90.00 beta=90.00 gamma=90.00
Space group P4/mmm (No. 123)
Unique sites:
Nb1 0.000 0.000 0.000 x1
Co1 0.500 0.500 0.000 x1
Ir1 0.500 0.500 0.500 x1
Se1 0.000 0.500 0.500 x2

Output
D(E_F) = 1.32 states/eV per atom
Energy = -5.5505 eV per atom

This record from the Alexandria database describes a relaxed AcTlAu2 crystal. The functional is PBE.

Unit cell a=5.104 b=5.104 c=4.127 alpha=90.00 beta=90.00 gamma=90.00
Space group P4/mmm (No. 123)
Unique sites:
Ac1 0.000 0.000 0.000 x1
Tl1 0.500 0.500 0.000 x1
Au1 0.000 0.500 0.500 x2

Output
ΔE_f = -0.479 eV per atom
D(E_F) = 0.69 states/eV per atom

This record from the Alexandria database describes a relaxed Li2AlRhO4 crystal. The functional is PBE.

Unit cell a=5.110 b=2.935 c=5.150 alpha=90.00 beta=109.70 gamma=90.00
Space group P2/m (No. 10)
Unique sites:
Li1 0.000 0.000 0.000 x1
Li2 0.000 0.500 0.500 x1
Al1 0.500 0.000 0.500 x1
Rh1 0.500 0.500 0.000 x1
O1 0.277 0.000 0.734 x2
O2 0.280 0.500 0.277 x2

Output
Energy = -6.2976 eV per atom

This record from the Alexandria database describes a relaxed KBSe3 crystal. The functional is PBE.

Unit cell a=8.923 b=12.718 c=4.495 alpha=90.00 beta=90.00 gamma=90.00
Space group C222_1 (No. 20)
Unique sites:
K1 0.000 0.166 0.250 x4
B1 0.130 0.500 0.000 x4
Se1 0.000 0.399 0.750 x4
Se2 0.226 0.391 0.279 x8

Output
D(E_F) = 0.23 states/eV per atom
Energy = -4.0147 eV per atom

This record from the Alexandria database describes a relaxed BaReSe crystal. The functional is PBE.

Unit cell a=4.2489 b=4.2489 c=5.1325 alpha=90.00 beta=90.00 gamma=120.00
Space group P-6m2 (No. 187)
Unique sites:
Ba1 0.0000 0.0000 0.0000 x1
Re1 0.3333 0.6667 0.5000 x1
Se1 0.6667 0.3333 0.5000 x1

Output
D(E_F) = 1.14 states/eV per atom
Energy = -5.8165 eV per atom

This record from the Alexandria database describes a relaxed TaRu crystal. The functional is PBE.

Unit cell a=5.355 b=4.462 c=5.439 alpha=90.00 beta=90.00 gamma=90.00
Space group Pnma (No. 62)
Unique sites:
Ta1 0.147 0.250 0.122 x4
Ru1 0.081 0.250 0.649 x4

Output
ΔE_f = -0.267 eV per atom
D(E_F) = 0.76 states/eV per atom

This record from the Alexandria database describes a relaxed TcOs2Cl crystal. The functional is PBE.

Unit cell a=5.621 b=7.613 c=2.782 alpha=90.00 beta=90.00 gamma=90.00
Space group Cmmm (No. 65)
Unique sites:
Tc1 0.000 0.000 0.000 x2
Os1 0.250 0.250 0.500 x4
Cl1 0.000 0.500 0.000 x2

Output
D(E_F) = 1.24 states/eV per atom
Energy = -7.4112 eV per atom

This record from the Alexandria database describes a relaxed Tb5PrDySc2 crystal. The functional is PBE.

Unit cell a=5.624 b=21.600 c=9.366 alpha=90.00 beta=90.00 gamma=90.00
Space group Cmc2_1 (No. 36)
Unique sites:
Tb1 0.000 0.009 0.000 x4
Tb2 0.000 0.266 0.317 x4
Tb3 0.000 0.307 0.703 x4
Tb4 0.000 0.392 0.031 x4
Tb5 0.000 0.468 0.733 x4
Pr1 0.000 0.184 0.004 x4
Dy1 0.000 0.403 0.403 x4
Sc1 0.000 0.113 0.312 x4
Sc2 0.000 0.137 0.684 x4

Output
ΔE_f = 0.169 eV per atom
D(E_F) = 1.49 states/eV per atom

This record from the Alexandria database describes a relaxed Tm6In5Sn crystal. The functional is PBE.

Unit cell a=5.260 b=7.454 c=15.777 alpha=90.00 beta=90.00 gamma=90.00
Space group Immm (No. 71)
Unique sites:
Tm1 0.000 0.247 0.000 x4
Tm2 0.000 0.252 0.335 x8
In1 0.000 0.000 0.171 x4
In2 0.000 0.000 0.500 x2
In3 0.000 0.500 0.166 x4
Sn1 0.000 0.500 0.500 x2

Output
ΔE_f = -0.439 eV per atom
D(E_F) = 0.53 states/eV per atom

This record from the Alexandria database describes a relaxed Ba5Fe crystal. The functional is PBE.

Unit cell a=7.4588 b=7.4588 c=7.2702 alpha=90.00 beta=90.00 gamma=120.00
Space group P6/mmm (No. 191)
Unique sites:
Ba1 0.0000 0.5000 0.0000 x3
Ba2 0.3333 0.6667 0.5000 x2
Fe1 0.0000 0.0000 0.5000 x1

Output
ΔE_f = 0.889 eV per atom
D(E_F) = 2.47 states/eV per atom

This record from the Alexandria database describes a relaxed NaSeBr2 crystal. The functional is PBE.

Unit cell a=5.525 b=5.525 c=17.499 alpha=90.00 beta=90.00 gamma=90.00
Space group I-42d (No. 122)
Unique sites:
Na1 0.000 0.000 0.000 x4
Se1 0.000 0.000 0.500 x4
Br1 0.205 0.250 0.625 x8

Output
D(E_F) = 0.35 states/eV per atom
Energy = -2.4318 eV per atom

This record from the Alexandria database describes a relaxed SrYTc2Ni crystal. The functional is PBE.

Unit cell a=4.705 b=4.705 c=5.054 alpha=90.00 beta=90.00 gamma=90.00
Space group P4/mmm (No. 123)
Unique sites:
Sr1 0.000 0.000 0.000 x1
Y1 0.500 0.500 0.000 x1
Tc1 0.000 0.500 0.500 x2
Ni1 0.000 0.000 0.500 x1

Output
ΔE_f = 0.924 eV per atom
D(E_F) = 1.31 states/eV per atom

This record from the Alexandria database describes a relaxed InAgGe2S6 crystal. The functional is PBE.

Unit cell a=13.264 b=12.212 c=6.728 alpha=90.00 beta=114.66 gamma=90.00
Space group C2/c (No. 15)
Unique sites:
In1 0.000 0.194 0.250 x4
Ag1 0.000 0.208 0.750 x4
Ge1 0.209 0.422 0.717 x8
S1 0.107 0.072 0.099 x8
S2 0.133 0.446 0.963 x8
S3 0.147 0.249 0.615 x8

Output
Energy = -4.2272 eV per atom

This record from the Alexandria database describes a relaxed K3Bi5Pd3 crystal. The functional is PBE.

Unit cell a=8.7211 b=8.7211 c=6.3159 alpha=90.00 beta=90.00 gamma=120.00
Space group P-62m (No. 189)
Unique sites:
K1 0.0000 0.6653 0.0000 x3
Bi1 0.0000 0.2668 0.5000 x3
Bi2 0.3333 0.6667 0.5000 x2
Pd1 0.0000 0.6370 0.5000 x3

Output
ΔE_f = -0.151 eV per atom
D(E_F) = 0.85 states/eV per atom

The magnetization results, record by record, are as follows: 0.00; 0.00; 7.36; 0.00; 1.28; 1.03; 0.00; 0.00; 0.00; 0.26; 0.03; 0.00; 0.00; 0.00; 0.59; 0.00; 0.00; 0.00; 0.00; 2.85; 0.00; 1.27; 0.00; 0.00 μB per formula unit.
The V results, record by record, are as follows: 31.55; 25.44; 27.27; 30.30; 22.83; 20.01; 21.48; 12.33; 13.83; 27.25; 20.36; 26.89; 9.09; 25.51; 26.75; 16.24; 14.88; 31.60; 25.77; 58.38; 33.38; 22.38; 24.76; 37.82 A^3/atom.